Material: Ac2NdSc
Method: DFT, GGA-PBE
State: optimized geometry

Computed properties:
Total magnetization (μB/f.u.): 0.0
V (Å³/atom): 37.8
Symmetry: R-3m (166)
Distance to the lowest polymorph of the same formula (meV per atom): 253
Formation enthalpy at 0 K (eV/atom): 0.32

Cell lengths 3.684, 3.684, 13.048 Å; angles 81.88, 81.88, 60.00 degrees
Atoms (fractional coordinates):
1 Sc 0.000 0.000 0.000
2 Ac 0.085 0.085 0.745
3 Ac 0.915 0.915 0.255
4 Nd 0.500 0.500 0.500